Record 1
Entry from Alexandria via LeMat-Bulk: a geometry-optimized La5Pr5Nd structure (PBE).

Values from the calculation:
space group: P-1, No. 2
distance to the lowest polymorph of the same formula: 0.000 eV/atom
raw total energy: -4.727 eV per atom
energy of formation from the pure elements: 0.119 eV/atom

Cell lengths 7.165, 7.169, 8.885 Å; angles 76.12, 75.32, 69.99 degrees
Atoms (fractional coordinates):
La (0.000, 0.000, 0.000)
La (0.198, 0.678, 0.361)
La (0.259, 0.363, 0.737)
La (0.741, 0.637, 0.263)
La (0.802, 0.322, 0.639)
Pr (0.146, 0.218, 0.279)
Pr (0.356, 0.856, 0.642)
Pr (0.500, 0.500, 0.000)
Pr (0.644, 0.144, 0.358)
Pr (0.854, 0.782, 0.721)
Nd (0.500, 0.000, 0.000)

=====

Record 2
Entry from Alexandria via LeMat-Bulk: a geometry-optimized Ac4NiRhAu2 structure (PBE).

Values from the calculation:
space group: P2/m, No. 10
raw total energy: -5.155 eV per atom
energy of formation from the pure elements: -0.640 eV/atom

Cell lengths 7.544, 4.359, 7.881 Å; angles 90.00, 108.63, 90.00 degrees
Atoms (fractional coordinates):
Ac (0.240, 0.000, 0.224)
Ac (0.258, 0.500, 0.777)
Ac (0.742, 0.500, 0.223)
Ac (0.760, 0.000, 0.776)
Ni (0.500, 0.000, 0.000)
Rh (0.000, 0.500, 0.000)
Au (0.000, 0.000, 0.500)
Au (0.500, 0.500, 0.500)

=====

Record 3
Entry from Alexandria via LeMat-Bulk: a geometry-optimized Ca2MgFe structure (PBE).

Values from the calculation:
space group: P4mm, No. 99
raw total energy: -3.236 eV per atom
energy of formation from the pure elements: 0.279 eV/atom

Cell lengths 3.547, 3.547, 8.507 Å; angles 90.00, 90.00, 90.00 degrees
Atoms (fractional coordinates):
Ca (0.000, 0.000, 0.000)
Ca (0.500, 0.500, 0.365)
Mg (0.500, 0.500, 0.732)
Fe (0.000, 0.000, 0.594)

=====

Record 4
Entry from Alexandria via LeMat-Bulk: a geometry-optimized Cs2TlI4 structure (PBE).

Values from the calculation:
space group: P2_1/m, No. 11
formation energy without anion corrections: -1020 meV/atom
distance to the lowest polymorph of the same formula: 0.023 eV/atom
raw total energy: -2.488 eV per atom

Cell lengths 8.939, 8.502, 10.899 Å; angles 90.00, 108.17, 90.00 degrees
Atoms (fractional coordinates):
Cs (0.237, 0.250, 0.064)
Cs (0.262, 0.250, 0.562)
Cs (0.738, 0.750, 0.438)
Cs (0.763, 0.750, 0.936)
Tl (0.219, 0.750, 0.803)
Tl (0.781, 0.250, 0.197)
I (0.010, 0.527, 0.258)
I (0.010, 0.973, 0.258)
I (0.414, 0.750, 0.614)
I (0.419, 0.750, 0.090)
I (0.581, 0.250, 0.910)
I (0.586, 0.250, 0.386)
I (0.990, 0.027, 0.742)
I (0.990, 0.473, 0.742)